This record from Alexandria via LeMat-Bulk describes a relaxed CdWIO4 crystal. The functional is GGA+U.

The structure in CIF format:
```
data_CdWIO4
_cell_length_a 12.384
_cell_length_b 6.345
_cell_length_c 7.476
_cell_angle_alpha 90.00
_cell_angle_beta 106.51
_cell_angle_gamma 90.00
_symmetry_space_group_name_H-M 'C 1 2/m 1'
_symmetry_Int_Tables_number 12
_symmetry_space_group_name_Hall '-C 2y'
loop_
_atom_site_label
_atom_site_type_symbol
_atom_site_fract_x
_atom_site_fract_y
_atom_site_fract_z
Cd1 Cd 0.191 0.000 0.246
W1 W 0.111 0.000 0.693
I1 I 0.048 0.500 0.184
O1 O 0.052 0.000 0.383
O2 O 0.128 0.000 0.942
O3 O 0.187 0.237 0.665
```

Computed properties:
Spin magnetization   0.000 μB per atom
Volume   20.11 Å³ per atom
Total DFT energy (no corrections)   -156.35 eV/cell